No. 1
# Tm2CrCd (PBE-GGA, relaxed)
data_Tm2CrCd
_chemical_formula_sum 'Tm8 Cr4 Cd4'
_space_group_name_H-M_alt 'F m -3 m'
_space_group_IT_number 225
_space_group_name_Hall '-F 4 2 3'
_cell_length_a 7.238
_cell_length_b 7.238
_cell_length_c 7.238
_cell_angle_alpha 90.00
_cell_angle_beta 90.00
_cell_angle_gamma 90.00
loop_
_atom_site_label
_atom_site_fract_x
_atom_site_fract_y
_atom_site_fract_z
Tm1 0.250 0.250 0.250
Cr1 0.000 0.000 0.000
Cd1 0.000 0.000 0.500
# - ρ: 8.800 g/cm3
# - E_form: 0.03 eV per atom
# - Fermi-level density of states: 8.58 states/eV/cell
# - Total magnetic moment: 14.6 μB/cell
# - Distance to the lowest polymorph of the same formula: 33 meV/atom
# - Raw total energy: -0.178 hartree per atom

***

No. 2
# V3CrCd (PBE-GGA, relaxed)
data_V3CrCd
_chemical_formula_sum 'V3 Cr1 Cd1'
_space_group_name_H-M_alt 'P m -3 m'
_space_group_IT_number 221
_space_group_name_Hall '-P 4 2 3'
_cell_length_a 4.369
_cell_length_b 4.369
_cell_length_c 4.369
_cell_angle_alpha 90.00
_cell_angle_beta 90.00
_cell_angle_gamma 90.00
loop_
_atom_site_label
_atom_site_fract_x
_atom_site_fract_y
_atom_site_fract_z
V1 0.000 0.000 0.500
Cr1 0.000 0.000 0.000
Cd1 0.500 0.500 0.500
# - ρ: 6.315 g/cm3
# - E_form: 0.81 eV per atom
# - Fermi-level density of states: 5.35 states/eV/cell
# - Total magnetic moment: 0.0 μB/cell
# - Distance to the lowest polymorph of the same formula: 0 meV/atom
# - Raw total energy: -0.249 hartree per atom